# 1
The following is a DFT calculation (GGA-PBE) of crystalline Pa2Zn3Au at its relaxed geometry.

Structure (CIF):
```
data_Pa2Zn3Au
_chemical_formula_sum 'Pa16 Zn24 Au8'
_symmetry_space_group_name_H-M 'F m m m'
_symmetry_Int_Tables_number 69
_symmetry_space_group_name_Hall '-F 2 2'
_cell_length_a 6.294
_cell_length_b 9.294
_cell_length_c 16.102
_cell_angle_alpha 90.00
_cell_angle_beta 90.00
_cell_angle_gamma 90.00
loop_
_atom_site_label
_atom_site_type_symbol
_atom_site_fract_x
_atom_site_fract_y
_atom_site_fract_z
_atom_site_occupancy
Pa1 Pa 0.239 0.000 0.000 1
Pa2 Pa 0.250 0.250 0.250 1
Zn1 Zn 0.000 0.000 0.336 1
Zn2 Zn 0.000 0.244 0.418 1
Au1 Au 0.000 0.000 0.167 1
```

## Properties
Formation energy from the elements   -0.22 eV/atom
ρ   12.06 Mg/m³
Spin magnetization   0.04 μB/cell

# 2
The following is a DFT calculation (GGA-PBE) of crystalline Pb2Au9 at its relaxed geometry.

Structure (CIF):
```
data_Pb2Au9
_chemical_formula_sum 'Pb2 Au9'
_symmetry_space_group_name_H-M 'P -3 m 1'
_symmetry_Int_Tables_number 164
_symmetry_space_group_name_Hall '-P 3 2"'
_cell_length_a 3.1009
_cell_length_b 3.1009
_cell_length_c 33.7356
_cell_angle_alpha 90.00
_cell_angle_beta 90.00
_cell_angle_gamma 120.00
loop_
_atom_site_label
_atom_site_type_symbol
_atom_site_fract_x
_atom_site_fract_y
_atom_site_fract_z
_atom_site_occupancy
Pb1 Pb 0.3333 0.6667 0.3400 1
Au1 Au 0.0000 0.0000 0.0000 1
Au2 Au 0.0000 0.0000 0.1979 1
Au3 Au 0.3333 0.6667 0.1315 1
Au4 Au 0.3333 0.6667 0.7348 1
Au5 Au 0.3333 0.6667 0.9344 1
```

## Properties
VASP energy   -3.2536 eV/atom
ρ   12.93 Mg/m³